(1)
The following is a GGA-PBEsol calculation of a relaxed TeSe5 crystal, from the Alexandria database.

Output
SG: Cmmm (65)
Magnetic moment, μB per formula unit: 0.00
N(E_F), states/eV per cell: 6.6
Energy relative to the elements, uncorrected, eV per atom: 0.184

The structure in CIF format:
```
data_TeSe5
_cell_length_a 7.446
_cell_length_b 11.401
_cell_length_c 3.739
_cell_angle_alpha 90.00
_cell_angle_beta 90.00
_cell_angle_gamma 90.00
_symmetry_space_group_name_H-M 'P 1'
_symmetry_Int_Tables_number 1
loop_
_symmetry_equiv_pos_as_xyz
'x,y,z'
loop_
_atom_site_label
_atom_site_type_symbol
_atom_site_fract_x
_atom_site_fract_y
_atom_site_fract_z
_atom_site_occupancy
Te1 Te 0.000 0.000 0.000 1
Te2 Te 0.500 0.500 0.000 1
Se1 Se 0.000 0.177 0.500 1
Se2 Se 0.000 0.340 0.000 1
Se3 Se 0.000 0.500 0.500 1
Se4 Se 0.000 0.660 0.000 1
Se5 Se 0.000 0.823 0.500 1
Se6 Se 0.500 0.000 0.500 1
Se7 Se 0.500 0.160 0.000 1
Se8 Se 0.500 0.323 0.500 1
Se9 Se 0.500 0.677 0.500 1
Se10 Se 0.500 0.840 0.000 1
```

=====

(2)
The following is a GGA-PBEsol calculation of a relaxed MgTcAg crystal, from the Alexandria database.

Output
SG: P3m1 (156)
Formation enthalpy at 0 K, eV/atom: 0.45
Magnetic moment, μB per formula unit: 0.42
N(E_F), states/eV per cell: 3.4

The structure in CIF format:
```
data_MgTcAg
_cell_length_a 4.613
_cell_length_b 4.613
_cell_length_c 2.592
_cell_angle_alpha 90.00
_cell_angle_beta 90.00
_cell_angle_gamma 120.00
_symmetry_space_group_name_H-M 'P 1'
_symmetry_Int_Tables_number 1
loop_
_symmetry_equiv_pos_as_xyz
'x,y,z'
loop_
_atom_site_label
_atom_site_type_symbol
_atom_site_fract_x
_atom_site_fract_y
_atom_site_fract_z
_atom_site_occupancy
Mg1 Mg 0.000 0.000 0.000 1
Tc1 Tc 0.333 0.667 0.453 1
Ag1 Ag 0.667 0.333 0.917 1
```

=====

(3)
The following is a GGA-PBEsol calculation of a relaxed Tb12Ni6Pb crystal, from the Alexandria database.

Output
SG: Im-3 (204)
Formation enthalpy at 0 K, eV/atom: -0.37
Magnetic moment, μB per formula unit: 0.00
N(E_F), states/eV per cell: 16.6

The structure in CIF format:
```
data_Tb12Ni6Pb
_cell_length_a 8.310
_cell_length_b 8.310
_cell_length_c 8.310
_cell_angle_alpha 109.47
_cell_angle_beta 109.47
_cell_angle_gamma 109.47
_symmetry_space_group_name_H-M 'P 1'
_symmetry_Int_Tables_number 1
loop_
_symmetry_equiv_pos_as_xyz
'x,y,z'
loop_
_atom_site_label
_atom_site_type_symbol
_atom_site_fract_x
_atom_site_fract_y
_atom_site_fract_z
_atom_site_occupancy
Tb1 Tb 0.117 0.812 0.305 1
Tb2 Tb 0.188 0.305 0.493 1
Tb3 Tb 0.188 0.695 0.883 1
Tb4 Tb 0.305 0.117 0.812 1
Tb5 Tb 0.305 0.493 0.188 1
Tb6 Tb 0.493 0.188 0.305 1
Tb7 Tb 0.507 0.812 0.695 1
Tb8 Tb 0.695 0.507 0.812 1
Tb9 Tb 0.695 0.883 0.188 1
Tb10 Tb 0.812 0.305 0.117 1
Tb11 Tb 0.812 0.695 0.507 1
Tb12 Tb 0.883 0.188 0.695 1
Ni1 Ni 0.124 0.624 0.500 1
Ni2 Ni 0.376 0.500 0.876 1
Ni3 Ni 0.500 0.124 0.624 1
Ni4 Ni 0.500 0.876 0.376 1
Ni5 Ni 0.624 0.500 0.124 1
Ni6 Ni 0.876 0.376 0.500 1
Pb1 Pb 0.000 0.000 0.000 1
```

=====

(4)
The following is a GGA-PBEsol calculation of a relaxed SiSbPdI2 crystal, from the Alexandria database.

Output
SG: P4/mmm (123)
Magnetic moment, μB per formula unit: 0.00
N(E_F), states/eV per cell: 4.9
Energy relative to the elements, uncorrected, eV per atom: 0.782

The structure in CIF format:
```
data_SiSbPdI2
_cell_length_a 5.300
_cell_length_b 5.300
_cell_length_c 5.208
_cell_angle_alpha 90.00
_cell_angle_beta 90.00
_cell_angle_gamma 90.00
_symmetry_space_group_name_H-M 'P 1'
_symmetry_Int_Tables_number 1
loop_
_symmetry_equiv_pos_as_xyz
'x,y,z'
loop_
_atom_site_label
_atom_site_type_symbol
_atom_site_fract_x
_atom_site_fract_y
_atom_site_fract_z
_atom_site_occupancy
Si1 Si 0.000 0.000 0.000 1
Sb1 Sb 0.000 0.000 0.500 1
Pd1 Pd 0.500 0.500 0.500 1
I1 I 0.000 0.500 0.000 1
I2 I 0.500 0.000 0.000 1
```

=====

(5)
The following is a GGA-PBEsol calculation of a relaxed BeCd3N crystal, from the Alexandria database.

Output
SG: Pm-3m (221)
Magnetic moment, μB per formula unit: 2.44
N(E_F), states/eV per cell: 1.9
Energy relative to the elements, uncorrected, eV per atom: 1.171

The structure in CIF format:
```
data_BeCd3N
_cell_length_a 4.626
_cell_length_b 4.626
_cell_length_c 4.626
_cell_angle_alpha 90.00
_cell_angle_beta 90.00
_cell_angle_gamma 90.00
_symmetry_space_group_name_H-M 'P 1'
_symmetry_Int_Tables_number 1
loop_
_symmetry_equiv_pos_as_xyz
'x,y,z'
loop_
_atom_site_label
_atom_site_type_symbol
_atom_site_fract_x
_atom_site_fract_y
_atom_site_fract_z
_atom_site_occupancy
Be1 Be 0.000 0.000 0.000 1
Cd1 Cd 0.000 0.000 0.500 1
Cd2 Cd 0.000 0.500 0.000 1
Cd3 Cd 0.500 0.000 0.000 1
N1 N 0.500 0.500 0.500 1
```

=====

(6)
The following is a GGA-PBEsol calculation of a relaxed LaGe3Rh crystal, from the Alexandria database.

Output
SG: I4mm (107)
Formation enthalpy at 0 K, eV/atom: -0.81
Magnetic moment, μB per formula unit: 0.00
N(E_F), states/eV per cell: 3.1

The structure in CIF format:
```
data_LaGe3Rh
_cell_length_a 4.390
_cell_length_b 4.390
_cell_length_c 10.025
_cell_angle_alpha 90.00
_cell_angle_beta 90.00
_cell_angle_gamma 90.00
_symmetry_space_group_name_H-M 'P 1'
_symmetry_Int_Tables_number 1
loop_
_symmetry_equiv_pos_as_xyz
'x,y,z'
loop_
_atom_site_label
_atom_site_type_symbol
_atom_site_fract_x
_atom_site_fract_y
_atom_site_fract_z
_atom_site_occupancy
La1 La 0.000 0.000 0.000 1
La2 La 0.500 0.500 0.500 1
Ge1 Ge 0.000 0.000 0.579 1
Ge2 Ge 0.000 0.500 0.237 1
Ge3 Ge 0.000 0.500 0.737 1
Ge4 Ge 0.500 0.000 0.237 1
Ge5 Ge 0.500 0.000 0.737 1
Ge6 Ge 0.500 0.500 0.079 1
Rh1 Rh 0.000 0.000 0.341 1
Rh2 Rh 0.500 0.500 0.841 1
```

=====

(7)
The following is a GGA-PBEsol calculation of a relaxed Li2ZnNi crystal, from the Alexandria database.

Output
SG: Immm (71)
Formation enthalpy at 0 K, eV/atom: -0.10
Magnetic moment, μB per formula unit: 0.00
N(E_F), states/eV per cell: 2.8

The structure in CIF format:
```
data_Li2ZnNi
_cell_length_a 2.728
_cell_length_b 4.149
_cell_length_c 8.664
_cell_angle_alpha 90.00
_cell_angle_beta 90.00
_cell_angle_gamma 90.00
_symmetry_space_group_name_H-M 'P 1'
_symmetry_Int_Tables_number 1
loop_
_symmetry_equiv_pos_as_xyz
'x,y,z'
loop_
_atom_site_label
_atom_site_type_symbol
_atom_site_fract_x
_atom_site_fract_y
_atom_site_fract_z
_atom_site_occupancy
Li1 Li 0.000 0.000 0.240 1
Li2 Li 0.000 0.000 0.760 1
Li3 Li 0.500 0.500 0.260 1
Li4 Li 0.500 0.500 0.740 1
Zn1 Zn 0.000 0.500 0.000 1
Zn2 Zn 0.500 0.000 0.500 1
Ni1 Ni 0.000 0.500 0.500 1
Ni2 Ni 0.500 0.000 0.000 1
```

=====

(8)
The following is a GGA-PBEsol calculation of a relaxed Li3TaBi crystal, from the Alexandria database.

Output
SG: Pm-3m (221)
Formation enthalpy at 0 K, eV/atom: 1.24
Magnetic moment, μB per formula unit: 3.78
N(E_F), states/eV per cell: 2.7

The structure in CIF format:
```
data_Li3TaBi
_cell_length_a 4.936
_cell_length_b 4.936
_cell_length_c 4.936
_cell_angle_alpha 90.00
_cell_angle_beta 90.00
_cell_angle_gamma 90.00
_symmetry_space_group_name_H-M 'P 1'
_symmetry_Int_Tables_number 1
loop_
_symmetry_equiv_pos_as_xyz
'x,y,z'
loop_
_atom_site_label
_atom_site_type_symbol
_atom_site_fract_x
_atom_site_fract_y
_atom_site_fract_z
_atom_site_occupancy
Li1 Li 0.000 0.000 0.500 1
Li2 Li 0.000 0.500 0.000 1
Li3 Li 0.500 0.000 0.000 1
Ta1 Ta 0.000 0.000 0.000 1
Bi1 Bi 0.500 0.500 0.500 1
```

=====

Question: Which value of N(E_F) does entry 1 give?
Answer: 6.6 states/eV per cell

=====

Question: Which of these has the lowest N(E_F)?
Answer: BeCd3N